1.
Density functional theory data (PBE) for an optimized crystal structure of CaCu2Ir.

Calculated values
Its energy relative to the elements is 0.227 eV/atom. The value obtained for the density is 7.34 Mg/m³. The energy above the lowest structure with this stoichiometry is 319 meV per atom.

a b c (Å): 9.2209 9.2209 9.2209
angles (deg): 152.88 152.88 38.73
Last column: nearest neighbours and their distance in Å.
Atoms (fractional coordinates):
Ca 0.0000 0.0000 0.0000  4 Cu 2.98, 4 Ir 3.06
Ca 0.7500 0.2500 0.5000  4 Cu 2.98, 4 Ir 3.06
Cu 0.2731 0.6250 0.1481  2 Cu 2.33, 2 Ir 2.47
Cu 0.3750 0.5231 0.6481  2 Cu 2.33, 2 Ir 2.47
Cu 0.4769 0.1250 0.8519  2 Cu 2.33, 2 Ir 2.47
Cu 0.8750 0.7269 0.3519  2 Cu 2.33, 2 Ir 2.47
Ir 0.2500 0.7500 0.5000  4 Cu 2.47
Ir 0.5000 0.5000 0.0000  4 Cu 2.47


2.
Density functional theory data (PBE) for an optimized crystal structure of KCaCuIr2.

Calculated values
Its energy relative to the elements is 0.791 eV/atom. The value obtained for the density is 7.75 Mg/m³. The energy above the lowest structure with this stoichiometry is 65 meV per atom.

a b c (Å): 4.7326 4.7326 5.0403
angles (deg): 90.00 90.00 90.00
Last column: nearest neighbours and their distance in Å.
Atoms (fractional coordinates):
K 0.0000 0.0000 0.0000  2 Cu 2.52
Ca 0.5000 0.5000 0.0000  4 K 3.35, 8 Ir 3.46
Cu 0.0000 0.0000 0.5000  4 Ir 2.37, 2 K 2.52
Ir 0.0000 0.5000 0.5000  2 Cu 2.37
Ir 0.5000 0.0000 0.5000  2 Cu 2.37


3.
Density functional theory data (PBE) for an optimized crystal structure of KCaCuIr2.

Calculated values
Its energy relative to the elements is 0.726 eV/atom. The value obtained for the density is 7.69 Mg/m³. The energy above the lowest structure with this stoichiometry is 0 meV per atom.

a b c (Å): 4.7399 4.7399 5.0661
angles (deg): 90.00 90.00 90.00
Last column: nearest neighbours and their distance in Å.
Atoms (fractional coordinates):
K 0.0000 0.0000 0.0000  4 Ca 3.35, 8 Ir 3.47
Ca 0.5000 0.5000 0.0000  2 Cu 2.53
Cu 0.5000 0.5000 0.5000  4 Ir 2.37, 2 Ca 2.53
Ir 0.0000 0.5000 0.5000  2 Cu 2.37
Ir 0.5000 0.0000 0.5000  2 Cu 2.37


- Which of these has the highest energy above the lowest structure with this stoichiometry?
  CaCu2Ir